Cu2Sb2Au: optimized geometry, PBE-GGA.

a = 7.700 Å, b = 7.700 Å, c = 3.412 Å
α = 90.00°, β = 90.00°, γ = 90.00°
Fractional coordinates of all 10 atoms:
Cu  0.114  0.614  0.500
Cu  0.614  0.886  0.500
Cu  0.386  0.114  0.500
Cu  0.886  0.386  0.500
Sb  0.185  0.315  0.000
Sb  0.685  0.185  0.000
Sb  0.315  0.815  0.000
Sb  0.815  0.685  0.000
Au  0.500  0.500  0.000
Au  0.000  0.000  0.000

Computed properties:
raw total energy	-3.734	eV per atom
total magnetization	0.00	μB/atom
Fermi-level density of states	4.30	states/eV/cell

=====

CuSbAu2: optimized geometry, PBE-GGA.

a = 3.532 Å, b = 3.530 Å, c = 5.995 Å
α = 90.00°, β = 90.00°, γ = 90.00°
Fractional coordinates of all 4 atoms:
Au  0.000  0.000  0.479
Au  0.000  0.000  0.021
Sb  0.500  0.500  0.750
Cu  0.500  0.500  0.250

Computed properties:
raw total energy	-3.615	eV per atom
total magnetization	0.00	μB/atom
Fermi-level density of states	1.28	states/eV/cell

=====

CuSb2Au: optimized geometry, PBE-GGA.

a = 3.223 Å, b = 3.223 Å, c = 8.112 Å
α = 90.00°, β = 90.00°, γ = 90.00°
Fractional coordinates of all 4 atoms:
Cu  0.500  0.500  0.750
Sb  0.000  0.000  0.982
Sb  0.000  0.000  0.518
Au  0.500  0.500  0.250

Computed properties:
raw total energy	-3.691	eV per atom
total magnetization	0.00	μB/atom
Fermi-level density of states	1.44	states/eV/cell

=====

CuSbAu2: optimized geometry, PBE-GGA.

a = 3.791 Å, b = 3.791 Å, c = 6.972 Å
α = 74.23°, β = 74.23°, γ = 60.00°
Fractional coordinates of all 4 atoms:
Au  0.240  0.240  0.280
Au  0.093  0.093  0.721
Cu  0.499  0.499  0.502
Sb  0.667  0.667  0.998

Computed properties:
raw total energy	-3.593	eV per atom
total magnetization	0.00	μB/atom
Fermi-level density of states	2.65	states/eV/cell

=====

Cu2SbAu2: optimized geometry, PBE-GGA.

a = 3.642 Å, b = 3.642 Å, c = 7.381 Å
α = 75.72°, β = 75.72°, γ = 90.00°
Fractional coordinates of all 5 atoms:
Cu  0.250  0.750  0.500
Cu  0.750  0.250  0.500
Sb  0.000  0.000  0.000
Au  0.390  0.390  0.220
Au  0.610  0.610  0.780

Computed properties:
raw total energy	-3.659	eV per atom
total magnetization	0.00	μB/atom
Fermi-level density of states	1.51	states/eV/cell

=====

CuSbAu2: optimized geometry, PBE-GGA.

a = 3.603 Å, b = 3.600 Å, c = 5.747 Å
α = 90.00°, β = 90.00°, γ = 90.00°
Fractional coordinates of all 4 atoms:
Au  0.000  0.000  0.002
Au  0.500  0.500  0.268
Sb  0.500  0.500  0.746
Cu  0.000  0.000  0.483

Computed properties:
raw total energy	-3.611	eV per atom
total magnetization	0.00	μB/atom
Fermi-level density of states	1.51	states/eV/cell

=====

CuSbAu2: optimized geometry, PBE-GGA.

a = 4.132 Å, b = 3.583 Å, c = 5.256 Å
α = 82.35°, β = 90.00°, γ = 90.00°
Fractional coordinates of all 4 atoms:
Sb  0.500  0.794  0.695
Au  0.000  0.002  0.052
Au  0.500  0.456  0.224
Cu  0.000  0.249  0.529

Computed properties:
raw total energy	-3.613	eV per atom
total magnetization	0.00	μB/atom
Fermi-level density of states	1.73	states/eV/cell

=====

CuSbAuSe: optimized geometry, PBE-GGA.

a = 3.923 Å, b = 3.923 Å, c = 13.749 Å
α = 81.80°, β = 81.80°, γ = 60.00°
Fractional coordinates of all 8 atoms:
Se  0.706  0.706  0.881
Se  0.294  0.294  0.119
Au  0.096  0.096  0.713
Au  0.904  0.904  0.287
Cu  0.391  0.391  0.827
Cu  0.609  0.609  0.173
Sb  0.802  0.802  0.593
Sb  0.198  0.198  0.407

Computed properties:
raw total energy	-3.731	eV per atom
total magnetization	0.00	μB/atom
Fermi-level density of states	4.47	states/eV/cell

=====

Sr2Cu4Sb3Au: optimized geometry, PBE-GGA.

a = 4.492 Å, b = 4.492 Å, c = 10.885 Å
α = 90.00°, β = 90.00°, γ = 90.00°
Fractional coordinates of all 10 atoms:
Cu  0.500  0.000  0.631
Cu  0.500  0.500  0.000
Cu  0.000  0.000  0.000
Cu  0.000  0.500  0.369
Sb  0.000  0.500  0.132
Sb  0.500  0.000  0.868
Sb  0.000  0.000  0.500
Sr  0.500  0.000  0.247
Sr  0.000  0.500  0.753
Au  0.500  0.500  0.500

Computed properties:
raw total energy	-3.991	eV per atom
total magnetization	0.00	μB/atom
Fermi-level density of states	2.16	states/eV/cell

=====

Sr2Cu3Sb4Au: optimized geometry, PBE-GGA.

a = 4.698 Å, b = 4.698 Å, c = 10.792 Å
α = 90.00°, β = 90.00°, γ = 90.00°
Fractional coordinates of all 10 atoms:
Sb  0.000  0.500  0.364
Sb  0.500  0.500  0.000
Sb  0.500  0.000  0.636
Sb  0.000  0.000  0.000
Cu  0.000  0.500  0.125
Cu  0.000  0.000  0.500
Cu  0.500  0.000  0.875
Sr  0.000  0.500  0.741
Sr  0.500  0.000  0.259
Au  0.500  0.500  0.500

Computed properties:
raw total energy	-3.997	eV per atom
total magnetization	0.00	μB/atom
Fermi-level density of states	3.92	states/eV/cell

=====

Sr2CuSb4Au3: optimized geometry, PBE-GGA.

a = 4.697 Å, b = 4.697 Å, c = 11.704 Å
α = 90.00°, β = 90.00°, γ = 90.00°
Fractional coordinates of all 10 atoms:
Au  0.500  0.000  0.854
Au  0.000  0.500  0.146
Au  0.000  0.000  0.500
Sb  0.500  0.500  0.000
Sb  0.000  0.500  0.375
Sb  0.500  0.000  0.625
Sb  0.000  0.000  0.000
Sr  0.000  0.500  0.733
Sr  0.500  0.000  0.267
Cu  0.500  0.500  0.500

Computed properties:
raw total energy	-3.879	eV per atom
total magnetization	0.00	μB/atom
Fermi-level density of states	4.81	states/eV/cell

=====

CuSb2TeAu: optimized geometry, PBE-GGA.

a = 5.070 Å, b = 5.070 Å, c = 5.121 Å
α = 90.00°, β = 90.00°, γ = 90.00°
Fractional coordinates of all 5 atoms:
Sb  0.000  0.500  0.000
Sb  0.500  0.000  0.000
Au  0.500  0.500  0.500
Te  0.000  0.000  0.500
Cu  0.000  0.000  0.000

Computed properties:
raw total energy	-3.186	eV per atom
total magnetization	0.00	μB/atom
Fermi-level density of states	4.12	states/eV/cell